[1]
A relaxed structure of MgAlReW, computed with PBE.

POSCAR file:
```
MgAlReW
1.0
-3.554 -1.578 -2.143
-0.680 -4.381 -0.246
-3.322 -1.862 2.282
Re Mg Al W
1 1 1 1
direct
0.750 0.750 0.750
0.000 0.000 0.000
0.250 0.250 0.250
0.500 0.500 0.500
```

=====

[2]
A relaxed structure of MgAlRh2, computed with PBE.

POSCAR file:
```
MgAlRh2
1.0
3.216 0.000 0.000
0.000 3.216 0.000
0.000 0.000 5.806
Al Mg Rh
1 1 2
direct
0.000 0.000 0.472
0.500 0.500 0.767
0.000 0.000 0.977
0.500 0.500 0.284
```

=====

[3]
A relaxed structure of MgAl4Rh, computed with PBE.

POSCAR file:
```
MgAl4Rh
1.0
-3.773 0.542 -0.754
-1.556 -4.831 4.311
-0.408 5.443 5.953
Mg Al Rh
2 8 2
direct
0.000 0.598 0.750
0.000 0.402 0.250
0.000 0.000 0.500
0.000 0.000 0.000
0.500 0.938 0.750
0.500 0.062 0.250
0.500 0.691 0.057
0.500 0.309 0.943
0.500 0.691 0.443
0.500 0.309 0.557
0.000 0.200 0.750
0.000 0.800 0.250
```

Properties
- E above lowest polymorph: 0 meV/atom

=====

no.,formation energy from the elements (meV/atom)
1,1.2
2,-428.6
3,-437.3